The following is a DFT calculation (PBE with a Hubbard U) of a relaxed MoP2O8 crystal.

Structure (extended XYZ):
```
22
Lattice="-4.5409 -0.0655 1.9981 1.4216 -6.7312 3.0102 2.8697 3.5750 6.6390" Properties=species:S:1:pos:R:3 pbc="T T T"
Mo 1.0083 -2.3247 8.3755
Mo 1.0125 -0.8642 2.2727
P 0.7828 -3.0378 4.8357
P -1.0886 -0.1847 6.8362
P -1.1201 -4.5442 6.4694
P 0.9266 1.3233 5.1532
O 1.2062 -2.3493 6.0927
O -1.7127 -0.8760 5.6675
O -0.4835 -3.9121 7.6647
O 0.4907 0.6941 3.8696
O 2.2168 -1.1230 8.4829
O -2.7624 -2.1029 3.2946
O 0.5472 -2.5953 9.9973
O -0.5010 -0.6221 1.5197
O 2.3105 -3.8994 8.2359
O -2.5842 0.6773 3.4220
O -0.5424 -1.0598 7.9400
O 0.3169 -2.1615 3.6966
O -0.4057 -4.0863 5.1041
O 2.4265 0.8974 5.5441
O 0.1001 0.7949 6.4137
O 1.9207 -3.9838 4.2346
```

Output
- Total moment: 0.1 μB/f.u.
- Space-group type: P2_12_12 (18)
- VASP energy: -156.292 eV/cell
- Energy above the most stable polymorph in this dataset: 2 meV/atom